[1]
! Pm5Sn2Rh2 PBE optimized geometry; values from VASP
&SYSTEM
  ibrav = 0, nat = 18, ntyp = 3
/
ATOMIC_SPECIES
Pm 145.00 Pm.upf
Rh 102.91 Rh.upf
Sn 118.71 Sn.upf
ATOMIC_POSITIONS crystal
Pm 0.6489 0.0577 0.7559
Rh 0.3643 0.1246 0.0000
Pm 0.3511 0.6982 0.7559
Pm 0.8511 0.8018 0.2441
Pm 0.1489 0.4423 0.2441
Sn 0.5000 0.2882 0.5764
Pm 0.3511 0.9423 0.2441
Rh 0.6357 0.8754 0.0000
Pm 0.0000 0.0000 0.0000
Sn 0.0000 0.7882 0.5764
Sn 0.0000 0.2118 0.4236
Pm 0.5000 0.5000 0.0000
Rh 0.8643 0.3754 0.0000
Pm 0.6489 0.3018 0.2441
Pm 0.8511 0.5577 0.7559
Sn 0.5000 0.7118 0.4236
Pm 0.1489 0.1982 0.7559
Rh 0.1357 0.6246 0.0000
CELL_PARAMETERS angstrom
-6.5968 -2.1245 -2.4168
1.4730 -7.9684 2.9839
-3.9309 5.9965 5.4586
! M_tot: 0.0 Bohr magnetons per cell
! density: 7.7 Mg/m³
! electronic total energy: -5.80 eV per atom
! space-group type: Cmce (64)

[2]
! Pm3Sn4Rh4 PBE optimized geometry; values from VASP
&SYSTEM
  ibrav = 0, nat = 11, ntyp = 3
/
ATOMIC_SPECIES
Sn 118.71 Sn.upf
Pm 145.00 Pm.upf
Rh 102.91 Rh.upf
ATOMIC_POSITIONS crystal
Sn 0.8345 0.3068 0.3872
Sn 0.5783 0.5525 0.8932
Pm 0.5960 0.1478 0.7028
Rh 0.2602 0.2553 0.4890
Rh 0.8601 0.4035 0.1926
Pm 0.4040 0.8522 0.2972
Pm 0.0000 0.0000 0.0000
Sn 0.4217 0.4475 0.1068
Sn 0.1655 0.6933 0.6128
Rh 0.7398 0.7447 0.5110
Rh 0.1398 0.5965 0.8074
CELL_PARAMETERS angstrom
0.5709 -1.9211 4.2328
-1.4718 -3.4916 -1.3854
11.9805 -6.9524 -1.0919
! M_tot: 0.0 Bohr magnetons per cell
! density: 8.7 Mg/m³
! electronic total energy: -6.13 eV per atom
! space-group type: P-1 (2)